No. 1
! InTe2Au (SCAN, single point on PBEsol structure); values from VASP
&SYSTEM
  ibrav = 0, nat = 4, ntyp = 3
/
ATOMIC_SPECIES
Te 127.60 Te.upf
Au 196.97 Au.upf
In 114.82 In.upf
ATOMIC_POSITIONS crystal
Te 0.757 0.757 0.730
Te 0.243 0.243 0.270
Au 0.500 0.500 0.500
In 0.000 0.000 0.000
CELL_PARAMETERS angstrom
-0.221 -4.095 0.796
3.203 -2.495 -0.985
3.700 -1.148 6.083
! - Electronic total energy: -44.453 eV/atom
! - Space group: R-3m
! - Density of states at the Fermi level: 0.50 states/eV/atom
! - ΔE_f (raw): -19 kJ/mol of atoms


No. 2
! InTeAu2 (SCAN, single point on PBEsol structure); values from VASP
&SYSTEM
  ibrav = 0, nat = 4, ntyp = 3
/
ATOMIC_SPECIES
Te 127.60 Te.upf
Au 196.97 Au.upf
In 114.82 In.upf
ATOMIC_POSITIONS crystal
Te 0.500 0.500 0.780
Au 0.500 0.500 0.238
Au 0.000 0.000 0.027
In 0.000 0.000 0.455
CELL_PARAMETERS angstrom
-1.750 2.628 0.520
-1.585 -1.516 2.330
5.660 2.662 5.583
! - Electronic total energy: -52.106 eV/atom
! - Space group: P4mm
! - Density of states at the Fermi level: 0.55 states/eV/atom
! - ΔE_f (raw): 13 kJ/mol of atoms
! - Offset from the most stable computed form: 332 meV per atom


- ΔE_f (raw) of number 2 (InTeAu2)?
  13 kJ/mol of atoms